TmThSi4 | PBE | optimized geometry

N(E_F) in states/eV per cell: 12.39
V in Å³/cell: 470.3
Formation energy from raw total energies in eV/atom: -0.5461
Space-group type: Pbam
Total moment in μB/cell: 0.00

abc: 7.037 16.672 4.009
angles: 90.00 90.00 90.00
Sites, in units of the cell vectors:
Tm1 0.249 0.061 0.000
Tm2 0.251 0.561 0.000
Tm3 0.749 0.439 0.000
Tm4 0.751 0.939 0.000
Th1 0.249 0.314 0.000
Th2 0.251 0.814 0.000
Th3 0.749 0.186 0.000
Th4 0.751 0.686 0.000
Si1 0.080 0.439 0.500
Si2 0.081 0.939 0.500
Si3 0.082 0.186 0.500
Si4 0.085 0.686 0.500
Si5 0.415 0.186 0.500
Si6 0.418 0.686 0.500
Si7 0.419 0.439 0.500
Si8 0.420 0.939 0.500
Si9 0.580 0.061 0.500
Si10 0.581 0.561 0.500
Si11 0.582 0.314 0.500
Si12 0.585 0.814 0.500
Si13 0.915 0.314 0.500
Si14 0.918 0.814 0.500
Si15 0.919 0.061 0.500
Si16 0.920 0.561 0.500